# 1
# La4CeTh3Se8

La4CeTh3Se8 after structural relaxation (PBE, the Alexandria database).

```
16
Lattice="8.4909 0.0000 0.0000 0.0000 8.5325 0.0266 -4.2454 -4.2392 6.0060" Properties=species:S:1:pos:R:3 pbc="T T T"
Se 2.1183 2.1671 0.0281
Se 4.2454 4.2533 3.0049
Se 0.0000 4.2493 2.9949
Se 0.0000 0.0400 3.0277
Se 6.3726 2.1671 0.0281
Se -2.1271 2.1262 6.0045
Se 4.2454 0.0439 3.0376
Se 2.1271 2.1262 6.0045
La -2.1227 -2.1196 3.0030
La 4.2454 0.0000 0.0000
La 0.0000 0.0000 0.0000
La 2.1227 -2.1196 3.0030
Ce 0.0000 4.2662 0.0133
Th -2.1227 2.1466 3.0163
Th 4.2454 4.2662 0.0133
Th 2.1227 2.1466 3.0163
```

Output
N(E_F): 0.74 states/eV/atom
volume: 27.255 Å³ per atom
energy relative to the elements, uncorrected: -1805 meV per atom

---

# 2
# La3CeTh2Se6

La3CeTh2Se6 after structural relaxation (PBE, the Alexandria database).

```
12
Lattice="7.3421 0.0088 0.0044 -3.6616 6.3639 0.0044 -1.2236 -2.1186 6.9986" Properties=species:S:1:pos:R:3 pbc="T T T"
Se -0.0009 -0.0015 5.2871
Se 0.0134 4.2509 5.2982
Se -1.2184 2.1181 1.7092
Se 3.6753 2.1360 5.2982
Se 2.4435 0.0032 1.7092
Se 2.4578 4.2556 1.7203
La -2.4333 4.2419 3.5037
La 1.2285 2.1271 3.5037
La 4.8902 0.0123 3.5037
Th 3.6700 2.1296 0.0044
Th 0.0105 4.2431 0.0044
Ce 0.0000 0.0000 0.0000
```

Output
N(E_F): 1.01 states/eV/atom
volume: 27.281 Å³ per atom
energy relative to the elements, uncorrected: -1812 meV per atom

---

- What is the formula in the second record?
  La3CeTh2Se6